--- P ---
LiDyHf: optimized geometry, PBE-GGA.

Unit cell a=3.2436 b=3.2436 c=14.1704 alpha=90.00 beta=90.00 gamma=90.00
Atoms (fractional coordinates):
Li 0.0000 0.5000 0.9293
Li 0.5000 0.0000 0.0707
Dy 0.0000 0.5000 0.2550
Dy 0.5000 0.0000 0.7450
Hf 0.0000 0.5000 0.5755
Hf 0.5000 0.0000 0.4245

crystal system: tetragonal
N(E_F): 6.64 states/eV/cell
magnetic moment: 0.00 Bohr magnetons per cell

---

--- Q ---
LiDyHf: optimized geometry, PBE-GGA.

Unit cell a=3.3047 b=3.3047 c=7.0086 alpha=103.64 beta=103.64 gamma=90.00
Atoms (fractional coordinates):
Dy 0.0055 0.0055 0.0111
Hf 0.6696 0.6696 0.3391
Li 0.3249 0.3249 0.6498

crystal system: tetragonal
N(E_F): 3.42 states/eV/cell
magnetic moment: 0.00 Bohr magnetons per cell

---

P (96 meV per atom below the next structure)